(1)
The following is a DFT calculation (GGA-PBEsol) of crystalline Rh3WF at its relaxed geometry.

a = 4.115 Å, b = 4.115 Å, c = 4.115 Å
α = 90.00°, β = 90.00°, γ = 90.00°
Atoms (fractional coordinates):
1 F 0.000 0.000 0.000
2 W 0.500 0.500 0.500
3 Rh 0.000 0.500 0.000
4 Rh 0.500 0.000 0.000
5 Rh 0.000 0.000 0.500

Properties
calculated volume	69.7	Å³/f.u.
electronic total energy	-7.174	eV per atom
total moment	0.00	μB per formula unit


(2)
The following is a DFT calculation (GGA-PBEsol) of crystalline ZnRhF3 at its relaxed geometry.

a = 3.979 Å, b = 3.979 Å, c = 3.979 Å
α = 90.00°, β = 90.00°, γ = 90.00°
Atoms (fractional coordinates):
1 Zn 0.000 0.000 0.000
2 F 0.500 0.000 0.000
3 F 0.000 0.500 0.000
4 F 0.000 0.000 0.500
5 Rh 0.500 0.500 0.500

Properties
calculated volume	63.0	Å³/f.u.
electronic total energy	-4.097	eV per atom
total moment	2.04	μB per formula unit


(3)
The following is a DFT calculation (GGA-PBEsol) of crystalline Zr2RhF2 at its relaxed geometry.

a = 3.288 Å, b = 3.288 Å, c = 6.886 Å
α = 103.81°, β = 103.81°, γ = 90.00°
Atoms (fractional coordinates):
1 Zr 0.375 0.375 0.750
2 Zr 0.625 0.625 0.250
3 Rh 0.000 0.000 0.000
4 F 0.250 0.750 0.500
5 F 0.750 0.250 0.500

Properties
calculated volume	70.1	Å³/f.u.
electronic total energy	-8.087	eV per atom
total moment	0.00	μB per formula unit